# 1
# PBE P2Cl, optimized geometry
# Energy relative to the elements, uncorrected ... 0.39 eV/atom
# Crystal system ... hexagonal
# Magnetization ... 0.0000 μB/atom
# N(E_F) ... 1.06 states/eV/atom
# E_tot ... -34.51 eV/cell
data_P2Cl
_space_group_name_H-M_alt 'P 1'
_space_group_IT_number 1
_cell_length_a 9.689
_cell_length_b 9.689
_cell_length_c 3.210
_cell_angle_alpha 90.00
_cell_angle_beta 90.00
_cell_angle_gamma 120.00
loop_
_space_group_symop_operation_xyz
'x,y,z'
loop_
_atom_site_label
_atom_site_fract_x
_atom_site_fract_y
_atom_site_fract_z
Cl1 0.000 0.000 0.500
Cl2 0.667 0.333 0.000
Cl3 0.333 0.667 0.000
P1 0.000 0.253 0.000
P2 0.000 0.393 0.500
P3 0.393 0.000 0.500
P4 0.253 0.000 0.000
P5 0.607 0.607 0.500
P6 0.747 0.747 0.000


# 2
# PBE P2Cl, optimized geometry
# Energy relative to the elements, uncorrected ... 0.59 eV/atom
# Crystal system ... hexagonal
# Magnetization ... 0.0000 μB/atom
# N(E_F) ... 0.51 states/eV/atom
# E_tot ... -10.90 eV/cell
data_P2Cl
_space_group_name_H-M_alt 'P 1'
_space_group_IT_number 1
_cell_length_a 4.430
_cell_length_b 4.430
_cell_length_c 2.860
_cell_angle_alpha 90.00
_cell_angle_beta 90.00
_cell_angle_gamma 120.00
loop_
_space_group_symop_operation_xyz
'x,y,z'
loop_
_atom_site_label
_atom_site_fract_x
_atom_site_fract_y
_atom_site_fract_z
Cl1 0.000 0.000 0.000
P1 0.333 0.667 0.500
P2 0.667 0.333 0.500


# 3
# PBE PCl6, optimized geometry
# Energy relative to the elements, uncorrected ... -0.33 eV/atom
# Crystal system ... orthorhombic
# Magnetization ... 0.1657 μB/atom
# N(E_F) ... 1.65 states/eV/atom
# E_tot ... -75.19 eV/cell
data_PCl6
_space_group_name_H-M_alt 'P 1'
_space_group_IT_number 1
_cell_length_a 6.481
_cell_length_b 10.930
_cell_length_c 12.717
_cell_angle_alpha 90.00
_cell_angle_beta 90.00
_cell_angle_gamma 90.00
loop_
_space_group_symop_operation_xyz
'x,y,z'
loop_
_atom_site_label
_atom_site_fract_x
_atom_site_fract_y
_atom_site_fract_z
Cl1 0.750 0.889 0.956
Cl2 0.348 0.750 0.985
Cl3 0.928 0.389 0.717
Cl4 0.572 0.111 0.217
Cl5 0.750 0.611 0.456
Cl6 0.171 0.250 0.246
Cl7 0.428 0.889 0.783
Cl8 0.250 0.389 0.544
Cl9 0.829 0.750 0.754
Cl10 0.329 0.250 0.746
Cl11 0.750 0.889 0.456
Cl12 0.572 0.389 0.217
Cl13 0.848 0.250 0.515
Cl14 0.750 0.611 0.956
Cl15 0.671 0.750 0.254
Cl16 0.428 0.611 0.783
Cl17 0.072 0.611 0.283
Cl18 0.250 0.111 0.544
Cl19 0.250 0.389 0.044
Cl20 0.652 0.250 0.015
Cl21 0.072 0.889 0.283
Cl22 0.152 0.750 0.485
Cl23 0.928 0.111 0.717
Cl24 0.250 0.111 0.044
P1 0.089 0.250 0.631
P2 0.589 0.750 0.869
P3 0.911 0.750 0.369
P4 0.411 0.250 0.131


# 4
# PBE P5Cl, optimized geometry
# Energy relative to the elements, uncorrected ... 0.17 eV/atom
# Crystal system ... orthorhombic
# Magnetization ... 0.0000 μB/atom
# N(E_F) ... 0.13 states/eV/atom
# E_tot ... -27.88 eV/cell
data_P5Cl
_space_group_name_H-M_alt 'P 1'
_space_group_IT_number 1
_cell_length_a 7.336
_cell_length_b 7.336
_cell_length_c 4.533
_cell_angle_alpha 90.00
_cell_angle_beta 90.00
_cell_angle_gamma 142.52
loop_
_space_group_symop_operation_xyz
'x,y,z'
loop_
_atom_site_label
_atom_site_fract_x
_atom_site_fract_y
_atom_site_fract_z
P1 0.272 0.728 0.000
P2 0.806 0.194 0.000
P3 0.765 0.235 0.500
P4 0.190 0.810 0.500
P5 0.346 0.654 0.500
Cl1 0.955 0.045 0.000


# 5
# PBE PCl8, optimized geometry
# Energy relative to the elements, uncorrected ... 0.17 eV/atom
# Crystal system ... tetragonal
# Magnetization ... 0.1145 μB/atom
# N(E_F) ... 0.15 states/eV/atom
# E_tot ... -18.65 eV/cell
data_PCl8
_space_group_name_H-M_alt 'P 1'
_space_group_IT_number 1
_cell_length_a 7.839
_cell_length_b 7.839
_cell_length_c 7.839
_cell_angle_alpha 106.72
_cell_angle_beta 106.72
_cell_angle_gamma 115.12
loop_
_space_group_symop_operation_xyz
'x,y,z'
loop_
_atom_site_label
_atom_site_fract_x
_atom_site_fract_y
_atom_site_fract_z
Cl1 0.371 0.371 0.742
Cl2 0.000 0.770 0.770
Cl3 0.230 0.000 0.230
Cl4 0.629 0.629 0.258
Cl5 0.000 0.230 0.230
Cl6 0.629 0.371 0.000
Cl7 0.371 0.629 0.000
Cl8 0.770 0.000 0.770
P1 0.000 0.000 0.000


# 6
# PBE P2Cl, optimized geometry
# Energy relative to the elements, uncorrected ... 0.08 eV/atom
# Crystal system ... monoclinic
# Magnetization ... 0.0000 μB/atom
# N(E_F) ... 0.39 states/eV/atom
# E_tot ... -24.85 eV/cell
data_P2Cl
_space_group_name_H-M_alt 'P 1'
_space_group_IT_number 1
_cell_length_a 6.311
_cell_length_b 3.360
_cell_length_c 7.576
_cell_angle_alpha 90.00
_cell_angle_beta 99.05
_cell_angle_gamma 90.00
loop_
_space_group_symop_operation_xyz
'x,y,z'
loop_
_atom_site_label
_atom_site_fract_x
_atom_site_fract_y
_atom_site_fract_z
P1 0.576 0.000 0.265
P2 0.782 0.500 0.240
P3 0.782 0.000 0.740
P4 0.576 0.500 0.765
Cl1 0.064 0.500 0.426
Cl2 0.064 0.000 0.926


# 7
# PBE PCl, optimized geometry
# Energy relative to the elements, uncorrected ... 0.95 eV/atom
# Crystal system ... tetragonal
# Magnetization ... 0.0000 μB/atom
# N(E_F) ... 0.72 states/eV/atom
# E_tot ... -5.35 eV/cell
data_PCl
_space_group_name_H-M_alt 'P 1'
_space_group_IT_number 1
_cell_length_a 2.947
_cell_length_b 2.947
_cell_length_c 4.113
_cell_angle_alpha 90.00
_cell_angle_beta 90.00
_cell_angle_gamma 90.00
loop_
_space_group_symop_operation_xyz
'x,y,z'
loop_
_atom_site_label
_atom_site_fract_x
_atom_site_fract_y
_atom_site_fract_z
P1 0.500 0.500 0.500
Cl1 0.000 0.000 0.000


# 8
# PBE PCl3, optimized geometry
# Energy relative to the elements, uncorrected ... -0.42 eV/atom
# Crystal system ... orthorhombic
# Magnetization ... 0.0001 μB/atom
# N(E_F) ... 0.41 states/eV/atom
# E_tot ... -25.27 eV/cell
data_PCl3
_space_group_name_H-M_alt 'P 1'
_space_group_IT_number 1
_cell_length_a 7.464
_cell_length_b 7.464
_cell_length_c 4.787
_cell_angle_alpha 90.00
_cell_angle_beta 90.00
_cell_angle_gamma 92.97
loop_
_space_group_symop_operation_xyz
'x,y,z'
loop_
_atom_site_label
_atom_site_fract_x
_atom_site_fract_y
_atom_site_fract_z
Cl1 0.016 0.984 0.250
Cl2 0.478 0.207 0.750
Cl3 0.522 0.793 0.250
Cl4 0.207 0.478 0.250
Cl5 0.984 0.016 0.750
Cl6 0.793 0.522 0.750
P1 0.477 0.523 0.250
P2 0.523 0.477 0.750